1) ## Pm4Co2Br5 (PBE)

Data for a relaxed structure of Pm4Co2Br5.

Unit cell a=4.0688 b=8.3525 c=18.9556 alpha=90.00 beta=90.00 gamma=90.00
Space group Immm (No. 71)
One atom of each set of equivalent atoms:
1 Pm 0.0000 0.0000 0.1814
2 Pm 0.0000 0.2874 0.5000
3 Co 0.0000 0.0000 0.0556
4 Br 0.0000 0.2312 0.3306
5 Br 0.0000 0.5000 0.0000

***

2) ## Pm4Co2Br5 (PBE)

Data for a relaxed structure of Pm4Co2Br5.

Unit cell a=22.4112 b=4.0334 c=8.3538 alpha=90.00 beta=92.80 gamma=90.00
Space group C2/m (No. 12)
One atom of each set of equivalent atoms:
1 Pm 0.0204 0.0000 0.2123
2 Pm 0.1568 0.5000 0.0545
3 Co 0.0480 0.5000 0.9966
4 Br 0.0000 0.5000 0.5000
5 Br 0.1524 0.0000 0.3168
6 Br 0.2025 0.0000 0.8314

***

Most stable: 2) (next structure +0.037 eV/atom)